1.
# LaCrSbTe2 GGA-PBE relaxed
# D(E_F) = 1.11 states/eV per atom
# ΔE_f (raw) = 487 meV/atom
# Space-group type = P4/mmm, No. 123
data_LaCrSbTe2
_chemical_formula_sum 'La1 Cr1 Sb1 Te2'
_space_group_name_H-M_alt 'P 1'
_space_group_IT_number 1
_cell_length_a 6.0995
_cell_length_b 6.0995
_cell_length_c 6.1289
_cell_angle_alpha 90.00
_cell_angle_beta 90.00
_cell_angle_gamma 90.00
loop_
_space_group_symop_operation_xyz
'x,y,z'
loop_
_atom_site_label
_atom_site_type_symbol
_atom_site_fract_x
_atom_site_fract_y
_atom_site_fract_z
Sb1 Sb 0.0000 0.0000 0.5000
Te1 Te 0.0000 0.5000 0.0000
Te2 Te 0.5000 0.0000 0.0000
Cr1 Cr 0.5000 0.5000 0.5000
La1 La 0.0000 0.0000 0.0000


2.
# Cd3In3Hg4 GGA-PBE relaxed
# D(E_F) = 0.41 states/eV per atom
# Space-group type = Amm2, No. 38
# Energy = -11.68 eV per formula unit
data_Cd3In3Hg4
_chemical_formula_sum 'Cd3 In3 Hg4'
_space_group_name_H-M_alt 'P 1'
_space_group_IT_number 1
_cell_length_a 4.3182
_cell_length_b 7.8380
_cell_length_c 7.8380
_cell_angle_alpha 91.19
_cell_angle_beta 90.00
_cell_angle_gamma 90.00
loop_
_space_group_symop_operation_xyz
'x,y,z'
loop_
_atom_site_label
_atom_site_type_symbol
_atom_site_fract_x
_atom_site_fract_y
_atom_site_fract_z
Cd1 Cd 0.0000 0.5208 0.0009
Cd2 Cd 0.0000 0.9991 0.4792
Cd3 Cd 0.5000 0.1576 0.8424
In1 In 0.5000 0.8419 0.1581
In2 In 0.5000 0.3271 0.3556
In3 In 0.5000 0.6444 0.6729
Hg1 Hg 0.0000 0.6342 0.3658
Hg2 Hg 0.0000 0.3425 0.6575
Hg3 Hg 0.0000 0.8730 0.8406
Hg4 Hg 0.0000 0.1594 0.1270


3.
# SmY5Ho6 GGA-PBE relaxed
# D(E_F) = 1.41 states/eV per atom
# Space-group type = C2/m, No. 12
# Energy = -64.24 eV per formula unit
data_SmY5Ho6
_chemical_formula_sum 'Sm1 Y5 Ho6'
_space_group_name_H-M_alt 'P 1'
_space_group_IT_number 1
_cell_length_a 11.7783
_cell_length_b 6.1539
_cell_length_c 6.1491
_cell_angle_alpha 59.97
_cell_angle_beta 85.03
_cell_angle_gamma 80.02
loop_
_space_group_symop_operation_xyz
'x,y,z'
loop_
_atom_site_label
_atom_site_type_symbol
_atom_site_fract_x
_atom_site_fract_y
_atom_site_fract_z
Sm1 Sm 0.0000 0.0000 0.0000
Y1 Y 0.5000 0.1669 0.6662
Y2 Y 0.0000 0.3333 0.3334
Y3 Y 0.5000 0.5000 0.0000
Y4 Y 0.0000 0.6667 0.6666
Y5 Y 0.5000 0.8331 0.3338
Ho1 Ho 0.7494 0.0834 0.3330
Ho2 Ho 0.2506 0.5836 0.3330
Ho3 Ho 0.2505 0.2497 0.0000
Ho4 Ho 0.7495 0.7503 0.0000
Ho5 Ho 0.7494 0.4164 0.6670
Ho6 Ho 0.2506 0.9166 0.6670


4.
# Sm6Ge3TeSe2 GGA-PBE relaxed
# D(E_F) = 0.23 states/eV per atom
# ΔE_f (raw) = -1330 meV/atom
# Space-group type = C2/m, No. 12
data_Sm6Ge3TeSe2
_chemical_formula_sum 'Sm6 Ge3 Te1 Se2'
_space_group_name_H-M_alt 'P 1'
_space_group_IT_number 1
_cell_length_a 4.2630
_cell_length_b 8.5839
_cell_length_c 9.5733
_cell_angle_alpha 103.63
_cell_angle_beta 102.86
_cell_angle_gamma 90.00
loop_
_space_group_symop_operation_xyz
'x,y,z'
loop_
_atom_site_label
_atom_site_type_symbol
_atom_site_fract_x
_atom_site_fract_y
_atom_site_fract_z
Sm1 Sm 0.3266 0.9206 0.6532
Sm2 Sm 0.6648 0.5896 0.3296
Sm3 Sm 0.6734 0.0794 0.3468
Sm4 Sm 0.9988 0.2666 0.9975
Sm5 Sm 0.0012 0.7334 0.0025
Sm6 Sm 0.3352 0.4104 0.6704
Ge1 Ge 0.5000 0.5000 0.0000
Ge2 Ge 0.8347 0.1684 0.6694
Ge3 Ge 0.1653 0.8316 0.3306
Te1 Te 0.5000 0.0000 0.0000
Se1 Se 0.8324 0.6655 0.6647
Se2 Se 0.1676 0.3345 0.3353